Entry from Alexandria via LeMat-Bulk: an optimized crystal structure of Sm7Co2Bi2 (PBE).

Calculated values
Its total energy is -5.338 eV per atom. As for the space group: Imm2, No. 44. Its total moment is 0.00 μB per formula unit.

a = 3.720 Å, b = 9.934 Å, c = 9.934 Å
α = 61.70°, β = 79.21°, γ = 79.21°
Atoms (fractional coordinates):
Bi: 0.500 0.359 0.641
Co: 0.737 0.854 0.672
Sm: 0.365 0.732 0.538
Sm: 0.182 0.726 0.910
Sm: 0.635 0.462 0.268
Sm: 0.818 0.090 0.274
Sm: 0.500 0.036 0.964
Sm: 0.843 0.407 0.907
Co: 0.263 0.328 0.146
Sm: 0.157 0.093 0.593
Bi: 0.000 0.767 0.233